1.
## ZnWSN2 (PBE)

Data for crystalline ZnWSN2 at its relaxed geometry.

The space group is P4/mmm (No. 123) and the conventional cell measures 3.871, 3.871 and 5.085 Å, with angles of 90.00, 90.00 and 90.00 degrees. The inequivalent atoms are Zn at (0.000, 0.000, 0.000), W at (0.500, 0.500, 0.500), S at (0.500, 0.500, 0.000) and N at (0.000, 0.500, 0.500).

The value obtained for the density is 6.7 g/cm3. For the energy, the calculation gives -6.733 eV per atom.



2.
## ZrWSN2 (PBE)

Data for crystalline ZrWSN2 at its relaxed geometry.

The space group is P4/mmm (No. 123) and the conventional cell measures 4.130, 4.130 and 5.063 Å, with angles of 90.00, 90.00 and 90.00 degrees. The inequivalent atoms are Zr at (0.000, 0.000, 0.000), W at (0.500, 0.500, 0.500), S at (0.000, 0.000, 0.500) and N at (0.000, 0.500, 0.000).

The value obtained for the density is 6.4 g/cm3. For the energy, the calculation gives -7.431 eV per atom.



3.
## ZrWS2N (PBE)

Data for crystalline ZrWS2N at its relaxed geometry.

The space group is P4/mmm (No. 123) and the conventional cell measures 5.033, 5.033 and 3.984 Å, with angles of 90.00, 90.00 and 90.00 degrees. The inequivalent atoms are Zr at (0.000, 0.000, 0.000), W at (0.500, 0.500, 0.500), S at (0.000, 0.500, 0.000) and N at (0.000, 0.000, 0.500).

The value obtained for the density is 5.8 g/cm3. For the energy, the calculation gives -6.891 eV per atom.



4.
## ZrWSN2 (PBE)

Data for crystalline ZrWSN2 at its relaxed geometry.

The space group is P4/mmm (No. 123) and the conventional cell measures 3.921, 3.921 and 4.769 Å, with angles of 90.00, 90.00 and 90.00 degrees. The inequivalent atoms are Zr at (0.000, 0.000, 0.000), W at (0.500, 0.500, 0.500), S at (0.500, 0.500, 0.000) and N at (0.000, 0.500, 0.500).

The value obtained for the density is 7.6 g/cm3. For the energy, the calculation gives -8.557 eV per atom.



Number 1: calculated volume 15.2 Å³ per atom, offset from the most stable computed form 0.0 kJ per mole of atoms, raw formation energy 0.268 eV/atom. Number 2: calculated volume 17.3 Å³ per atom, offset from the most stable computed form 108.7 kJ per mole of atoms, raw formation energy 1.025 eV/atom. Number 3: calculated volume 20.2 Å³ per atom, offset from the most stable computed form 81.7 kJ per mole of atoms, raw formation energy 0.725 eV/atom. Number 4: calculated volume 14.7 Å³ per atom, offset from the most stable computed form 0.0 kJ per mole of atoms, raw formation energy -0.101 eV/atom.